[1]
K2Hf3MnS8: relaxed, PBE-GGA.

Computed properties:
VASP energy = -6.731 eV/atom
uncorrected formation energy = -1.428 eV/atom

Unit cell a=7.3957 b=7.3957 c=9.0212 alpha=65.80 beta=65.80 gamma=60.00
Each line ends with the local moment (μB).
Fractional positions:
1 K 0.1391 0.1391 0.5827  0.00
2 K 0.4885 0.4885 0.5345  0.01
3 S 0.2177 0.7095 0.8550  0.03
4 S 0.2642 0.2642 0.2075  0.00
5 S 0.2177 0.2177 0.8550  0.03
6 S 0.7095 0.2177 0.8550  0.03
7 S 0.2694 0.7584 0.2137  0.03
8 S 0.7584 0.7584 0.2137  0.03
9 S 0.7584 0.2694 0.2137  0.03
10 S 0.7177 0.7177 0.8470  0.00
11 Hf 0.4917 0.4917 0.0320  0.02
12 Hf 0.4917 0.9846 0.0320  0.02
13 Hf 0.9846 0.4917 0.0320  0.02
14 Mn 0.9839 0.9839 0.0482  4.26

---

[2]
Pm2SnPb: relaxed, PBE-GGA.

Computed properties:
VASP energy = -4.888 eV/atom
calculated formation energy = -0.585 eV/atom

Unit cell a=4.5406 b=5.0478 c=10.0819 alpha=90.00 beta=90.00 gamma=90.00
Fractional positions:
1 Pm 0.0000 0.7500 0.8802
2 Pm 0.0000 0.2500 0.6304
3 Pm 0.0000 0.7500 0.3696
4 Pm 0.0000 0.2500 0.1198
5 Sn 0.5000 0.7500 0.1238
6 Sn 0.5000 0.2500 0.8762
7 Pb 0.5000 0.7500 0.6263
8 Pb 0.5000 0.2500 0.3737

---

[3]
TiCO2F: relaxed, PBE-GGA.

Computed properties:
VASP energy = -5.883 eV/atom
uncorrected formation energy = -0.101 eV/atom

Unit cell a=3.5594 b=3.5594 c=3.5823 alpha=90.00 beta=90.00 gamma=90.00
Each line ends with the local moment (μB).
Fractional positions:
1 C 0.0000 0.0000 0.0000  0.00
2 F 0.0000 0.0000 0.5000  -0.01
3 O 0.5000 0.0000 0.0000  0.03
4 O 0.0000 0.5000 0.0000  0.03
5 Ti 0.5000 0.5000 0.5000  -1.45

---

[4]
TaMnAsAu2: relaxed, PBE-GGA.

Computed properties:
VASP energy = -5.185 eV/atom
calculated formation energy = 1.260 eV/atom

Unit cell a=5.1409 b=4.5030 c=5.1409 alpha=90.00 beta=90.00 gamma=90.00
Each line ends with the local moment (μB).
Fractional positions:
1 Au 0.5000 0.0000 0.0000  -0.05
2 Au 0.0000 0.0000 0.5000  -0.03
3 Ta 0.0000 0.0000 0.0000  -0.54
4 Mn 0.0000 0.5000 0.0000  2.57
5 As 0.5000 0.5000 0.5000  0.00

---

[5]
NpBPt: relaxed, PBE-GGA.

Computed properties:
VASP energy = -8.596 eV/atom
calculated formation energy = -0.043 eV/atom

Unit cell a=3.2764 b=5.2139 c=5.9764 alpha=85.06 beta=74.09 gamma=71.69
Each line ends with the local moment (μB).
Fractional positions:
1 Pt 0.8604 0.2792 0.0000  0.00
2 Pt 0.1396 0.7208 0.0000  0.00
3 Np 0.6710 0.0000 0.6581  0.50
4 Np 0.3290 0.0000 0.3419  0.50
5 B 0.2500 0.5000 0.5000  0.00
6 B 0.7500 0.5000 0.5000  0.00

---

[6]
NaCd2P2: relaxed, PBE-GGA.

Computed properties:
VASP energy = -2.853 eV/atom
calculated formation energy = -0.059 eV/atom

Unit cell a=4.3759 b=4.3759 c=6.5586 alpha=70.51 beta=70.51 gamma=90.00
Fractional positions:
1 Cd 0.7500 0.2500 0.5000
2 Cd 0.2500 0.7500 0.5000
3 Na 0.0000 0.0000 0.0000
4 P 0.6062 0.6062 0.7876
5 P 0.3938 0.3938 0.2124

---

[7]
Ho5Tm5Sc2: relaxed, PBE-GGA.

Computed properties:
VASP energy = -4.754 eV/atom
calculated formation energy = 0.072 eV/atom

Unit cell a=5.4568 b=6.4473 c=11.6798 alpha=106.34 beta=90.00 gamma=115.04
Fractional positions:
1 Sc 0.0371 0.0741 0.7119
2 Sc 0.9629 0.9259 0.2881
3 Ho 0.4655 0.9310 0.7840
4 Ho 0.5000 0.0000 0.5000
5 Ho 0.7049 0.4098 0.0485
6 Ho 0.5345 0.0690 0.2160
7 Ho 0.2951 0.5902 0.9515
8 Tm 0.7986 0.5972 0.4537
9 Tm 0.2483 0.4966 0.2518
10 Tm 0.2014 0.4028 0.5463
11 Tm 0.7517 0.5034 0.7482
12 Tm 0.0000 0.0000 0.0000

---

[8]
Rb3Sb3Pd2: relaxed, PBE-GGA.

Computed properties:
VASP energy = -3.607 eV/atom
uncorrected formation energy = -0.400 eV/atom

Unit cell a=4.3736 b=7.4337 c=18.4171 alpha=90.00 beta=90.00 gamma=107.11
Fractional positions:
1 Sb 0.0977 0.1955 0.6075
2 Sb 0.2158 0.4315 0.7500
3 Sb 0.7842 0.5685 0.2500
4 Sb 0.9023 0.8045 0.3925
5 Sb 0.9023 0.8045 0.1075
6 Sb 0.0977 0.1955 0.8925
7 Rb 0.3609 0.7219 0.5558
8 Rb 0.4675 0.9350 0.7500
9 Rb 0.6391 0.2781 0.0558
10 Rb 0.3609 0.7219 0.9442
11 Rb 0.6391 0.2781 0.4442
12 Rb 0.5325 0.0650 0.2500
13 Pd 0.3263 0.6525 0.3309
14 Pd 0.6737 0.3475 0.6691
15 Pd 0.3263 0.6525 0.1691
16 Pd 0.6737 0.3475 0.8309

---

[9]
CaPrHoHg: relaxed, PBE-GGA.

Computed properties:
VASP energy = -2.977 eV/atom
calculated formation energy = -0.061 eV/atom

Unit cell a=5.5379 b=5.5379 c=5.5379 alpha=60.00 beta=60.00 gamma=60.00
Fractional positions:
1 Ho 0.0000 0.0000 0.0000
2 Ca 0.2500 0.2500 0.2500
3 Pr 0.5000 0.5000 0.5000
4 Hg 0.7500 0.7500 0.7500

---

[10]
CsRbSr: relaxed, PBE-GGA.

Computed properties:
VASP energy = -1.070 eV/atom
calculated formation energy = 0.097 eV/atom

Unit cell a=4.7217 b=4.7217 c=25.2455 alpha=79.44 beta=79.44 gamma=60.10
Fractional positions:
1 Rb 0.0235 0.0235 0.9300
2 Rb 0.7290 0.7290 0.3773
3 Cs 0.4839 0.4839 0.7486
4 Cs 0.2698 0.2698 0.5589
5 Sr 0.2536 0.2536 0.0869
6 Sr 0.4997 0.4997 0.2205

---

[11]
Ce3AgO: relaxed, PBE-GGA.

Computed properties:
VASP energy = -6.201 eV/atom
uncorrected formation energy = -1.078 eV/atom

Unit cell a=4.8562 b=4.8562 c=4.8562 alpha=90.00 beta=90.00 gamma=90.00
Each line ends with the local moment (μB).
Fractional positions:
1 Ce 0.0000 0.0000 0.5000  0.68
2 Ce 0.5000 0.0000 0.0000  0.68
3 Ce 0.0000 0.5000 0.0000  0.68
4 Ag 0.5000 0.5000 0.5000  0.02
5 O 0.0000 0.0000 0.0000  -0.03

---

[12]
Na4Hf3HgTe8: relaxed, PBE-GGA.

Computed properties:
VASP energy = -4.519 eV/atom
uncorrected formation energy = -0.734 eV/atom

Unit cell a=8.5517 b=8.9727 c=8.5539 alpha=118.49 beta=119.99 gamma=90.00
Fractional positions:
1 Na 0.5000 0.0000 0.5000
2 Na 0.0000 0.0000 0.0000
3 Na 0.0000 0.0000 0.5000
4 Na 0.5000 0.0000 0.0000
5 Te 0.2594 0.2784 0.5188
6 Te 0.2757 0.2810 0.0283
7 Te 0.2477 0.7192 0.4955
8 Te 0.7523 0.2808 0.5045
9 Te 0.7526 0.2810 0.0283
10 Te 0.7406 0.7216 0.4812
11 Te 0.2474 0.7190 0.9717
12 Te 0.7243 0.7190 0.9717
13 Hf 0.5000 0.5000 0.5000
14 Hf 0.5000 0.5000 0.0000
15 Hf 0.0000 0.5000 0.5000
16 Hg 0.0000 0.5000 0.0000

---

| no. | DOS at the Fermi energy (states/eV per atom) |
| --- | --- |
| 1 | 0.02 |
| 2 | 1.02 |
| 3 | 0.74 |
| 4 | 0.78 |
| 5 | 1.45 |
| 6 | 0.44 |
| 7 | 1.85 |
| 8 | 0.52 |
| 9 | 1.28 |
| 10 | 1.20 |
| 11 | 2.14 |
| 12 | 0.43 |